A plane-wave DFT calculation with PBE was carried out for an optimized crystal structure of ThZr4Sc4.

Calculated values
Calculated formation energy, meV per atom: 45
Space group: C2/m, No. 12

Cell lengths 5.0410, 8.0809, 8.2897 Å; angles 44.29, 72.30, 71.83 degrees
With the nearest neighbours (Å) after each atom.
Atoms (fractional coordinates):
Th 0.5000 0.0000 0.0000  6 Zr 3.18-3.36, 6 Sc 3.31-3.37
Zr 0.2808 0.1474 0.2909  5 Sc 3.07-3.39, 3 Zr 3.14-3.15, 1 Th 3.18
Zr 0.7192 0.8526 0.7091  5 Sc 3.07-3.39, 3 Zr 3.14-3.15, 1 Th 3.18
Zr 0.8594 0.3077 0.9735  6 Sc 3.03-3.39, 3 Zr 3.14-3.15, 2 Th 3.36
Zr 0.1406 0.6923 0.0265  6 Sc 3.03-3.39, 3 Zr 3.14-3.15, 2 Th 3.36
Sc 0.6399 0.4209 0.2992  7 Zr 3.03-3.39, 2 Sc 3.11, 1 Th 3.31
Sc 0.9257 0.7619 0.3866  4 Zr 3.07-3.39, 3 Sc 3.08-3.11, 2 Th 3.37
Sc 0.3601 0.5791 0.7008  7 Zr 3.03-3.39, 2 Sc 3.11, 1 Th 3.31
Sc 0.0743 0.2381 0.6134  4 Zr 3.07-3.39, 3 Sc 3.08-3.11, 2 Th 3.37